1.
Material: Dy5Ho3Se8
Method: DFT, PBE
State: relaxed

Calculated density in kg/m3: 8453
M_tot in μB per formula unit: 0.0
Raw formation energy in eV/atom: -1.7332
DFT total energy in eV per atom: -5.77
V in Å³/cell: 380.9

Geometry as extended XYZ:
```
16
Lattice="7.059 0.000 4.043 2.371 6.648 4.043 0.025 0.018 8.139" Properties=species:S:1:pos:R:3 pbc="T T T"
Se 5.915 1.676 10.141
Dy 3.529 0.000 2.022
Ho 3.542 0.009 6.091
Dy 1.186 3.324 2.022
Se 5.890 1.658 6.083
Se 7.098 5.004 12.158
Se 7.079 4.991 8.110
Dy 4.728 3.333 8.112
Se 3.540 4.991 6.083
Ho 0.013 0.009 4.069
Dy 4.715 3.324 4.043
Ho 1.198 3.333 6.091
Dy 0.000 0.000 0.000
Se 3.565 5.009 10.141
Se 2.358 1.662 4.067
Se 2.377 1.676 8.114
```

2.
Material: MnPIr2
Method: DFT, PBE
State: relaxed

Calculated density in kg/m3: 14986
M_tot in μB per formula unit: 0.0
Formation energy from the elements in eV/atom: -0.090
DFT total energy in eV per atom: -8.17
V in Å³/cell: 52.1

Geometry as extended XYZ:
```
4
Lattice="-7.916 1.405 -0.763 -7.462 -0.008 -3.086 -7.928 -1.352 -0.725" Properties=species:S:1:pos:R:3 pbc="T T T"
Mn -11.469 0.022 -2.251
P -17.579 0.034 -3.450
Ir -0.236 0.000 -0.046
Ir -5.676 0.011 -1.114
```

3.
Material: CsTlHgTe
Method: DFT, PBE
State: relaxed

Calculated density in kg/m3: 6376
M_tot in μB per formula unit: 0.0
Raw formation energy in eV/atom: -0.4654
DFT total energy in eV per atom: -2.13
V in Å³/cell: 346.7

Geometry as extended XYZ:
```
8
Lattice="5.457 0.000 0.000 0.000 5.457 0.000 0.000 0.000 11.643" Properties=species:S:1:pos:R:3 pbc="T T T"
Tl 1.364 4.092 0.000
Hg 1.364 4.092 5.821
Tl 4.092 1.364 0.000
Cs 1.364 1.364 8.650
Te 4.092 4.092 9.534
Hg 4.092 1.364 5.821
Te 1.364 1.364 2.109
Cs 4.092 4.092 2.993
```

Which of these has the lowest calculated density? CsTlHgTe

Please write out number 1 again, unchanged.
Material: Dy5Ho3Se8
Method: DFT, PBE
State: relaxed

Calculated density in kg/m3: 8453
M_tot in μB per formula unit: 0.0
Raw formation energy in eV/atom: -1.7332
DFT total energy in eV per atom: -5.77
V in Å³/cell: 380.9

Geometry as extended XYZ:
```
16
Lattice="7.059 0.000 4.043 2.371 6.648 4.043 0.025 0.018 8.139" Properties=species:S:1:pos:R:3 pbc="T T T"
Se 5.915 1.676 10.141
Dy 3.529 0.000 2.022
Ho 3.542 0.009 6.091
Dy 1.186 3.324 2.022
Se 5.890 1.658 6.083
Se 7.098 5.004 12.158
Se 7.079 4.991 8.110
Dy 4.728 3.333 8.112
Se 3.540 4.991 6.083
Ho 0.013 0.009 4.069
Dy 4.715 3.324 4.043
Ho 1.198 3.333 6.091
Dy 0.000 0.000 0.000
Se 3.565 5.009 10.141
Se 2.358 1.662 4.067
Se 2.377 1.676 8.114
```

Number 1 is which compound? Dy5Ho3Se8

Look up the M_tot of the first one. 0.0 μB per formula unit